Record 1
{
  "formula": "Ba2Mg12Tl7",
  "functional": "GGA-PBE",
  "state": "optimized geometry",
  "lattice": [[4.724, 0.000, 0.000], [0.000, 10.256, -5.921], [0.000, 0.000, 11.842]],
  "species": ["Tl", "Tl", "Tl", "Tl", "Tl", "Tl", "Tl", "Mg", "Mg", "Mg", "Mg", "Mg", "Mg", "Mg", "Mg", "Mg", "Mg", "Mg", "Mg", "Ba", "Ba"],
  "fractional_positions": [[0.252, 0.877, 0.289], [0.748, 0.123, 0.711], [0.748, 0.289, 0.412], [0.252, 0.412, 0.123], [0.252, 0.711, 0.588], [0.748, 0.588, 0.877], [0.500, 0.000, 0.000], [0.242, 0.117, 0.267], [0.242, 0.733, 0.850], [0.751, 0.571, 0.616], [0.751, 0.384, 0.955], [0.758, 0.850, 0.117], [0.242, 0.150, 0.883], [0.249, 0.955, 0.571], [0.249, 0.616, 0.045], [0.751, 0.045, 0.429], [0.758, 0.267, 0.150], [0.249, 0.429, 0.384], [0.758, 0.883, 0.733], [0.747, 0.667, 0.333], [0.253, 0.333, 0.667]],
  "formation_enthalpy_0k_ev_per_atom": -0.14,
  "crystal_system": "trigonal",
  "dft_energy_ha_per_atom": -0.07422
}



Record 2
{
  "formula": "Ba4MgTl3",
  "functional": "GGA-PBE",
  "state": "optimized geometry",
  "lattice": [[6.065, 0.000, 0.000], [0.000, 8.678, 0.000], [0.000, 0.000, 12.130]],
  "species": ["Ba", "Ba", "Ba", "Ba", "Ba", "Ba", "Ba", "Ba", "Tl", "Tl", "Tl", "Tl", "Tl", "Tl", "Mg", "Mg"],
  "fractional_positions": [[0.000, 0.753, 0.250], [0.000, 0.247, 0.750], [0.500, 0.753, 0.000], [0.500, 0.753, 0.500], [0.500, 0.247, 0.000], [0.000, 0.753, 0.750], [0.000, 0.247, 0.250], [0.500, 0.247, 0.500], [0.500, 0.000, 0.250], [0.499, 0.500, 0.250], [0.501, 0.500, 0.750], [0.000, 0.000, 0.000], [0.500, 0.000, 0.750], [0.000, 0.000, 0.500], [0.000, 0.500, 0.500], [0.000, 0.500, 0.000]],
  "formation_enthalpy_0k_ev_per_atom": -0.33,
  "crystal_system": "tetragonal",
  "dft_energy_ha_per_atom": -0.08722
}



Record 3
{
  "formula": "Ba6Mg2Tl",
  "functional": "GGA-PBE",
  "state": "optimized geometry",
  "lattice": [[-6.349, -7.590, 3.244], [8.116, 0.662, 6.491], [-5.185, 9.030, -0.125]],
  "species": ["Ba", "Ba", "Ba", "Ba", "Ba", "Ba", "Ba", "Ba", "Ba", "Ba", "Ba", "Ba", "Mg", "Mg", "Mg", "Mg", "Tl", "Tl"],
  "fractional_positions": [[0.272, 0.601, 0.329], [0.428, 0.255, 0.173], [0.728, 0.399, 0.671], [0.081, 0.255, 0.827], [0.919, 0.745, 0.173], [0.806, 0.255, 0.061], [0.572, 0.745, 0.827], [0.728, 0.057, 0.329], [0.194, 0.745, 0.939], [0.194, 0.255, 0.449], [0.806, 0.745, 0.551], [0.272, 0.943, 0.671], [0.633, 0.000, 0.633], [0.500, 0.626, 0.126], [0.367, 0.000, 0.367], [0.500, 0.374, 0.874], [0.000, 0.000, 0.000], [0.000, 0.500, 0.500]],
  "formation_enthalpy_0k_ev_per_atom": -0.09,
  "crystal_system": "orthorhombic",
  "dft_energy_ha_per_atom": -0.07293,
  "e_above_lowest_polymorph_ev_per_atom": 0.049
}



Record 4
{
  "formula": "Ba2MgTl",
  "functional": "GGA-PBE",
  "state": "optimized geometry",
  "lattice": [[11.408, 0.021, 0.012], [10.599, 4.220, 0.012], [10.599, 2.043, 3.693]],
  "species": ["Ba", "Ba", "Tl", "Mg"],
  "fractional_positions": [[0.003, 0.003, 0.003], [0.497, 0.497, 0.497], [0.750, 0.750, 0.750], [0.250, 0.250, 0.250]],
  "formation_enthalpy_0k_ev_per_atom": -0.04,
  "crystal_system": "trigonal",
  "dft_energy_ha_per_atom": -0.07314
}



Record 5
{
  "formula": "BaMg12Tl6",
  "functional": "GGA-PBE",
  "state": "optimized geometry",
  "lattice": [[8.363, -0.011, -0.015], [-2.083, 8.099, -0.015], [-2.083, -2.683, 7.642]],
  "species": ["Mg", "Mg", "Mg", "Mg", "Mg", "Mg", "Mg", "Mg", "Mg", "Mg", "Mg", "Mg", "Tl", "Tl", "Tl", "Tl", "Tl", "Tl", "Ba"],
  "fractional_positions": [[0.419, 0.165, 0.419], [0.581, 0.835, 0.581], [0.500, 0.115, 0.885], [0.581, 0.581, 0.835], [0.500, 0.885, 0.115], [0.885, 0.500, 0.115], [0.115, 0.885, 0.500], [0.835, 0.581, 0.581], [0.419, 0.419, 0.165], [0.165, 0.419, 0.419], [0.885, 0.115, 0.500], [0.115, 0.500, 0.885], [0.742, 0.742, 0.283], [0.717, 0.258, 0.258], [0.742, 0.283, 0.742], [0.258, 0.717, 0.258], [0.283, 0.742, 0.742], [0.258, 0.258, 0.717], [0.000, 0.000, 0.000]],
  "formation_enthalpy_0k_ev_per_atom": 0.00,
  "crystal_system": "trigonal",
  "dft_energy_ha_per_atom": -0.06817
}



Record 6
{
  "formula": "BaMg2Tl2",
  "functional": "GGA-PBE",
  "state": "optimized geometry",
  "lattice": [[-2.273, 3.043, -3.114], [-4.241, -2.343, 0.806], [-4.543, 4.341, 3.685]],
  "species": ["Tl", "Tl", "Ba", "Mg", "Mg"],
  "fractional_positions": [[0.381, 0.381, 0.238], [0.619, 0.619, 0.762], [0.000, 0.000, 0.000], [0.750, 0.250, 0.500], [0.250, 0.750, 0.500]],
  "formation_enthalpy_0k_ev_per_atom": -0.27,
  "crystal_system": "tetragonal",
  "dft_energy_ha_per_atom": -0.08218,
  "e_above_lowest_polymorph_ev_per_atom": 0.000
}



Record 7
{
  "formula": "BaMg2Tl4",
  "functional": "GGA-PBE",
  "state": "optimized geometry",
  "lattice": [[5.257, 0.000, 3.035], [2.628, 5.860, 1.517], [-0.301, 0.000, 6.592]],
  "species": ["Mg", "Mg", "Ba", "Tl", "Tl", "Tl", "Tl"],
  "fractional_positions": [[0.750, 0.500, 0.500], [0.250, 0.500, 0.500], [0.000, 0.000, 0.000], [0.696, 0.608, 0.000], [0.696, 0.000, 0.608], [0.304, 0.000, 0.392], [0.304, 0.392, 0.000]],
  "formation_enthalpy_0k_ev_per_atom": -0.16,
  "crystal_system": "tetragonal",
  "dft_energy_ha_per_atom": -0.08236,
  "e_above_lowest_polymorph_ev_per_atom": 0.000
}



Record 8
{
  "formula": "Ba3Mg2Tl7",
  "functional": "GGA-PBE",
  "state": "optimized geometry",
  "lattice": [[4.843, 0.000, 0.000], [0.000, 5.640, -2.658], [0.000, -7.313, 18.713]],
  "species": ["Tl", "Tl", "Tl", "Tl", "Tl", "Tl", "Tl", "Mg", "Mg", "Ba", "Ba", "Ba"],
  "fractional_positions": [[0.000, 0.737, 0.200], [0.000, 0.555, 0.420], [0.000, 0.000, 0.000], [0.500, 0.810, 0.737], [0.500, 0.190, 0.263], [0.000, 0.263, 0.800], [0.000, 0.445, 0.580], [0.000, 0.762, 0.808], [0.000, 0.238, 0.192], [0.500, 0.031, 0.615], [0.500, 0.500, 0.000], [0.500, 0.969, 0.385]],
  "formation_enthalpy_0k_ev_per_atom": -0.22,
  "crystal_system": "monoclinic",
  "dft_energy_ha_per_atom": -0.08623
}



Record 9
{
  "formula": "Ba2MgTl2",
  "functional": "GGA-PBE",
  "state": "optimized geometry",
  "lattice": [[-0.858, -1.599, 4.868], [-1.264, -6.824, 0.308], [10.627, -2.563, 3.804]],
  "species": ["Ba", "Ba", "Ba", "Ba", "Tl", "Tl", "Tl", "Tl", "Mg", "Mg"],
  "fractional_positions": [[0.672, 0.323, 0.333], [0.328, 0.677, 0.667], [0.920, 0.269, 0.892], [0.080, 0.731, 0.108], [0.077, 0.279, 0.567], [0.366, 0.149, 0.119], [0.923, 0.721, 0.433], [0.634, 0.851, 0.881], [0.643, 0.079, 0.635], [0.357, 0.921, 0.365]],
  "formation_enthalpy_0k_ev_per_atom": -0.31,
  "crystal_system": "monoclinic",
  "dft_energy_ha_per_atom": -0.08611,
  "e_above_lowest_polymorph_ev_per_atom": 0.000
}



Record 10
{
  "formula": "Ba4MgTl2",
  "functional": "GGA-PBE",
  "state": "optimized geometry",
  "lattice": [[-10.049, 3.006, 6.205], [-2.450, -6.131, -6.913], [7.200, -0.964, 6.213]],
  "species": ["Mg", "Mg", "Ba", "Ba", "Ba", "Ba", "Ba", "Ba", "Ba", "Ba", "Tl", "Tl", "Tl", "Tl"],
  "fractional_positions": [[0.125, 0.599, 0.489], [0.126, 0.113, 0.979], [0.380, 0.738, 0.358], [0.380, 0.241, 0.860], [0.870, 0.228, 0.848], [0.868, 0.474, 0.604], [0.382, 0.486, 0.616], [0.382, 0.988, 0.118], [0.870, 0.731, 0.352], [0.868, 0.971, 0.101], [0.624, 0.606, 0.482], [0.125, 0.359, 0.730], [0.625, 0.854, 0.236], [0.625, 0.361, 0.727]],
  "formation_enthalpy_0k_ev_per_atom": -0.23,
  "crystal_system": "triclinic",
  "dft_energy_ha_per_atom": -0.08190,
  "e_above_lowest_polymorph_ev_per_atom": 0.007
}



Record 11
{
  "formula": "Ba2Mg2Tl5",
  "functional": "GGA-PBE",
  "state": "optimized geometry",
  "lattice": [[5.196, 0.000, 0.000], [0.000, 5.196, 0.000], [0.000, 0.000, 10.963]],
  "species": ["Tl", "Tl", "Tl", "Tl", "Tl", "Ba", "Ba", "Mg", "Mg"],
  "fractional_positions": [[0.000, 0.500, 0.730], [0.500, 0.000, 0.270], [0.000, 0.500, 0.270], [0.500, 0.000, 0.730], [0.500, 0.500, 0.500], [0.000, 0.000, 0.500], [0.000, 0.000, 0.000], [0.500, 0.500, 0.866], [0.500, 0.500, 0.134]],
  "formation_enthalpy_0k_ev_per_atom": -0.19,
  "crystal_system": "tetragonal",
  "dft_energy_ha_per_atom": -0.08416
}



Record 12
{
  "formula": "Ba2MgTl",
  "functional": "GGA-PBE",
  "state": "optimized geometry",
  "lattice": [[-0.559, 5.357, -2.665], [-4.179, 3.202, -2.898], [-2.864, 4.198, 5.663]],
  "species": ["Ba", "Ba", "Mg", "Tl"],
  "fractional_positions": [[0.997, 0.997, 0.008], [0.503, 0.503, 0.492], [0.750, 0.750, 0.750], [0.250, 0.250, 0.250]],
  "formation_enthalpy_0k_ev_per_atom": -0.03,
  "crystal_system": "monoclinic",
  "dft_energy_ha_per_atom": -0.07280
}



Record 13
{
  "formula": "BaMg4Tl12",
  "functional": "GGA-PBE",
  "state": "optimized geometry",
  "lattice": [[-3.983, 7.980, -0.059], [-2.626, -4.581, 7.188], [8.848, 1.096, 0.242]],
  "species": ["Tl", "Tl", "Tl", "Tl", "Tl", "Tl", "Tl", "Tl", "Tl", "Tl", "Tl", "Tl", "Ba", "Mg", "Mg", "Mg", "Mg"],
  "fractional_positions": [[0.351, 0.193, 0.842], [0.193, 0.842, 0.351], [0.510, 0.158, 0.351], [0.649, 0.807, 0.158], [0.842, 0.351, 0.193], [0.351, 0.510, 0.158], [0.807, 0.158, 0.649], [0.158, 0.649, 0.807], [0.158, 0.351, 0.510], [0.649, 0.490, 0.842], [0.490, 0.842, 0.649], [0.842, 0.649, 0.490], [0.000, 0.000, 0.000], [0.000, 0.000, 0.500], [0.500, 0.500, 0.500], [0.000, 0.500, 0.000], [0.500, 0.000, 0.000]],
  "formation_enthalpy_0k_ev_per_atom": 0.08,
  "crystal_system": "cubic",
  "dft_energy_ha_per_atom": -0.07656
}



Record 14
{
  "formula": "BaMg2Tl2",
  "functional": "GGA-PBE",
  "state": "optimized geometry",
  "lattice": [[-6.299, -3.866, 5.338], [6.091, -0.594, 6.758], [-0.954, 3.119, 1.134]],
  "species": ["Mg", "Mg", "Mg", "Mg", "Tl", "Tl", "Tl", "Tl", "Ba", "Ba"],
  "fractional_positions": [[0.622, 0.122, 0.000], [0.378, 0.878, 0.000], [0.878, 0.622, 0.000], [0.122, 0.378, 0.000], [0.670, 0.830, 0.500], [0.330, 0.170, 0.500], [0.170, 0.670, 0.500], [0.830, 0.330, 0.500], [0.000, 0.000, 0.000], [0.500, 0.500, 0.000]],
  "formation_enthalpy_0k_ev_per_atom": -0.15,
  "crystal_system": "tetragonal",
  "dft_energy_ha_per_atom": -0.07770,
  "e_above_lowest_polymorph_ev_per_atom": 0.122
}



Record 15
{
  "formula": "Ba4MgTl2",
  "functional": "GGA-PBE",
  "state": "optimized geometry",
  "lattice": [[6.546, 0.000, 0.000], [0.000, 6.546, 0.000], [3.273, 3.273, 8.615]],
  "species": ["Mg", "Ba", "Ba", "Ba", "Ba", "Tl", "Tl"],
  "fractional_positions": [[0.000, 0.000, 0.000], [0.500, 0.000, 0.000], [0.000, 0.500, 0.000], [0.796, 0.796, 0.407], [0.204, 0.204, 0.593], [0.402, 0.402, 0.196], [0.598, 0.598, 0.804]],
  "formation_enthalpy_0k_ev_per_atom": 0.03,
  "crystal_system": "tetragonal",
  "dft_energy_ha_per_atom": -0.07236,
  "e_above_lowest_polymorph_ev_per_atom": 0.266
}



Record 16
{
  "formula": "Ba2Mg17Tl3",
  "functional": "GGA-PBE",
  "state": "optimized geometry",
  "lattice": [[8.569, -0.044, 0.870], [0.782, 8.533, 0.870], [-0.048, -0.044, 8.613]],
  "species": ["Ba", "Ba", "Mg", "Mg", "Mg", "Mg", "Mg", "Mg", "Mg", "Mg", "Mg", "Mg", "Mg", "Mg", "Mg", "Mg", "Mg", "Mg", "Mg", "Tl", "Tl", "Tl"],
  "fractional_positions": [[0.657, 0.657, 0.657], [0.343, 0.343, 0.343], [0.000, 0.500, 0.000], [0.254, 0.746, 0.000], [0.254, 0.000, 0.746], [0.900, 0.900, 0.900], [0.746, 0.254, 0.000], [0.746, 0.000, 0.254], [0.180, 0.674, 0.674], [0.674, 0.180, 0.674], [0.820, 0.326, 0.326], [0.326, 0.326, 0.820], [0.674, 0.674, 0.180], [0.100, 0.100, 0.100], [0.500, 0.000, 0.000], [0.000, 0.254, 0.746], [0.000, 0.746, 0.254], [0.326, 0.820, 0.326], [0.000, 0.000, 0.500], [0.000, 0.500, 0.500], [0.500, 0.500, 0.000], [0.500, 0.000, 0.500]],
  "formation_enthalpy_0k_ev_per_atom": 0.06,
  "crystal_system": "trigonal",
  "dft_energy_ha_per_atom": -0.06148
}



Record 17
{
  "formula": "Ba3Mg6Tl5",
  "functional": "GGA-PBE",
  "state": "optimized geometry",
  "lattice": [[5.087, 0.000, 0.000], [0.000, 10.968, 0.000], [0.000, 0.000, 15.271]],
  "species": ["Tl", "Tl", "Tl", "Tl", "Tl", "Tl", "Tl", "Tl", "Tl", "Tl", "Mg", "Mg", "Mg", "Mg", "Mg", "Mg", "Mg", "Mg", "Mg", "Mg", "Mg", "Mg", "Ba", "Ba", "Ba", "Ba", "Ba", "Ba"],
  "fractional_positions": [[0.500, 0.133, 0.841], [0.500, 0.467, 0.379], [0.500, 0.133, 0.159], [0.000, 0.793, 0.000], [0.000, 0.867, 0.341], [0.000, 0.867, 0.659], [0.500, 0.467, 0.621], [0.500, 0.207, 0.500], [0.000, 0.533, 0.879], [0.000, 0.533, 0.121], [0.000, 0.989, 0.157], [0.000, 0.029, 0.500], [0.500, 0.971, 0.000], [0.500, 0.011, 0.343], [0.500, 0.011, 0.657], [0.000, 0.593, 0.676], [0.500, 0.407, 0.824], [0.000, 0.989, 0.843], [0.000, 0.593, 0.324], [0.500, 0.556, 0.000], [0.500, 0.407, 0.176], [0.000, 0.444, 0.500], [0.000, 0.245, 0.690], [0.000, 0.246, 0.000], [0.500, 0.755, 0.190], [0.000, 0.245, 0.310], [0.500, 0.755, 0.810], [0.500, 0.754, 0.500]],
  "formation_enthalpy_0k_ev_per_atom": -0.24,
  "crystal_system": "orthorhombic",
  "dft_energy_ha_per_atom": -0.08001
}



Record 18
{
  "formula": "BaMg2Tl8",
  "functional": "GGA-PBE",
  "state": "optimized geometry",
  "lattice": [[-0.094, -0.358, -7.657], [6.279, -4.397, 0.128], [-3.688, -5.259, 0.291]],
  "species": ["Tl", "Tl", "Tl", "Tl", "Tl", "Tl", "Tl", "Tl", "Ba", "Mg", "Mg"],
  "fractional_positions": [[0.792, 0.208, 0.250], [0.792, 0.792, 0.250], [0.792, 0.792, 0.750], [0.208, 0.208, 0.750], [0.208, 0.792, 0.750], [0.208, 0.208, 0.250], [0.792, 0.208, 0.750], [0.208, 0.792, 0.250], [0.500, 0.500, 0.500], [0.500, 0.000, 0.000], [0.000, 0.500, 0.000]],
  "formation_enthalpy_0k_ev_per_atom": 0.07,
  "crystal_system": "tetragonal",
  "dft_energy_ha_per_atom": -0.07791
}



Record 19
{
  "formula": "Ba3MgTl12",
  "functional": "GGA-PBE",
  "state": "optimized geometry",
  "lattice": [[-0.219, -0.061, 5.065], [-4.984, -0.903, -0.226], [3.608, -19.885, -0.085]],
  "species": ["Tl", "Tl", "Tl", "Tl", "Tl", "Tl", "Tl", "Tl", "Tl", "Tl", "Tl", "Tl", "Ba", "Ba", "Ba", "Mg"],
  "fractional_positions": [[0.000, 0.500, 0.628], [0.500, 0.500, 0.000], [0.000, 0.500, 0.105], [0.500, 0.500, 0.264], [0.500, 0.000, 0.628], [0.500, 0.500, 0.736], [0.500, 0.000, 0.895], [0.500, 0.500, 0.500], [0.500, 0.000, 0.372], [0.000, 0.500, 0.895], [0.000, 0.500, 0.372], [0.500, 0.000, 0.105], [0.000, 0.000, 0.500], [0.000, 0.000, 0.766], [0.000, 0.000, 0.234], [0.000, 0.000, 0.000]],
  "formation_enthalpy_0k_ev_per_atom": -0.19,
  "crystal_system": "tetragonal",
  "dft_energy_ha_per_atom": -0.08909
}



Record 20
{
  "formula": "Ba4MgTl",
  "functional": "GGA-PBE",
  "state": "optimized geometry",
  "lattice": [[-5.763, 1.467, 1.027], [-1.674, -3.189, -4.842], [-0.923, -7.149, 5.028]],
  "species": ["Ba", "Ba", "Ba", "Ba", "Tl", "Mg"],
  "fractional_positions": [[0.001, 0.498, 0.733], [0.001, 0.497, 0.263], [0.501, 0.997, 0.263], [0.501, 0.998, 0.733], [0.001, 0.998, 0.498], [0.502, 0.496, 0.998]],
  "formation_enthalpy_0k_ev_per_atom": -0.05,
  "crystal_system": "monoclinic",
  "dft_energy_ha_per_atom": -0.07323
}